# Ca2MnO3

A relaxed Ca2MnO3 crystal (PBE with a Hubbard U, Alexandria via LeMat-Bulk).

Unit cell a=3.3616 b=3.3616 c=7.4337 alpha=103.07 beta=103.07 gamma=90.00
Last column: nearest neighbours and their distance in Å.
Sites, in units of the cell vectors:
Ca 0.3373 0.3373 0.6746  6 O 2.29-2.48
Mn 0.0000 0.0000 0.0000  6 O 2.27-2.38
O 0.8387 0.8387 0.6773  1 Mn 2.27, 5 Ca 2.38-2.48
Ca 0.6627 0.6627 0.3254  6 O 2.29-2.48
O 0.1613 0.1613 0.3227  1 Mn 2.27, 5 Ca 2.38-2.48
O 0.5000 0.5000 0.0000  2 Ca 2.29, 4 Mn 2.38

Values from the calculation:
Magnetization: 5.00 Bohr magnetons per cell
Total energy: -0.25298 hartree per atom